(1)
# ZrScGaOs

A relaxed ZrScGaOs crystal (GGA-PBE, Alexandria).

Properties
DOS at the Fermi energy	1.21	states/eV/f.u.
ΔE_f	-560	meV/atom
crystal system	tetragonal
space-group type	P4mm
calculated total energy	-7.844	eV per atom

a b c (Å): 3.285 3.285 6.705
angles (deg): 90.00 90.00 90.00
Element x y z (fractional)
Os 0.500 0.500 0.603
Zr 0.000 0.000 0.844
Ga 0.500 0.500 0.113
Sc 0.000 0.000 0.368


(2)
# GaOs3Se

A relaxed GaOs3Se crystal (GGA-PBE, Alexandria).

Properties
DOS at the Fermi energy	8.13	states/eV/f.u.
crystal system	cubic
space-group type	Pm-3m
calculated total energy	-5.917	eV per atom
formation energy from raw total energies	2.123	eV/atom
distance to the lowest polymorph of the same formula	0.3504	eV per atom

a b c (Å): 4.549 4.549 4.549
angles (deg): 90.00 90.00 90.00
Element x y z (fractional)
Os 0.000 0.000 0.500
Os 0.500 0.000 0.000
Os 0.000 0.500 0.000
Se 0.500 0.500 0.500
Ga 0.000 0.000 0.000


(3)
# GaOsSe2

A relaxed GaOsSe2 crystal (GGA-PBE, Alexandria).

Properties
DOS at the Fermi energy	3.06	states/eV/f.u.
crystal system	trigonal
space-group type	R-3m
calculated total energy	-5.136	eV per atom
formation energy from raw total energies	0.171	eV/atom

a b c (Å): 8.392 8.392 8.392
angles (deg): 25.65 25.65 25.65
Element x y z (fractional)
Os 0.500 0.500 0.500
Ga 0.000 0.000 0.000
Se 0.886 0.886 0.886
Se 0.114 0.114 0.114


(4)
# GaOsSe2

A relaxed GaOsSe2 crystal (GGA-PBE, Alexandria).

Properties
DOS at the Fermi energy	1.59	states/eV/f.u.
crystal system	tetragonal
space-group type	I-42d
calculated total energy	-5.112	eV per atom
formation energy from raw total energies	0.195	eV/atom

a b c (Å): 6.320 6.320 6.767
angles (deg): 62.16 62.16 90.00
Element x y z (fractional)
Se 0.875 0.928 0.750
Se 0.375 0.322 0.750
Se 0.072 0.625 0.250
Se 0.678 0.125 0.250
Os 0.000 0.000 0.000
Os 0.750 0.250 0.500
Ga 0.250 0.750 0.500
Ga 0.500 0.500 0.000


(5)
# GaOs3Se

A relaxed GaOs3Se crystal (GGA-PBE, Alexandria).

Properties
DOS at the Fermi energy	5.24	states/eV/f.u.
crystal system	cubic
space-group type	Pm-3m
calculated total energy	-6.267	eV per atom
formation energy from raw total energies	1.773	eV/atom
distance to the lowest polymorph of the same formula	0.0000	eV per atom

a b c (Å): 4.536 4.536 4.536
angles (deg): 90.00 90.00 90.00
Element x y z (fractional)
Os 0.500 0.000 0.000
Os 0.000 0.500 0.000
Os 0.000 0.000 0.500
Se 0.000 0.000 0.000
Ga 0.500 0.500 0.500


(6)
# Ga3OsSe

A relaxed Ga3OsSe crystal (GGA-PBE, Alexandria).

Properties
DOS at the Fermi energy	3.52	states/eV/f.u.
crystal system	cubic
space-group type	Pm-3m
calculated total energy	-3.414	eV per atom
formation energy from raw total energies	1.345	eV/atom
distance to the lowest polymorph of the same formula	1.1537	eV per atom

a b c (Å): 4.849 4.849 4.849
angles (deg): 90.00 90.00 90.00
Site moments in Bohr magnetons follow the coordinates.
Element x y z (fractional)
Ga 0.000 0.000 0.500  0.01
Ga 0.000 0.500 0.000  -0.03
Ga 0.500 0.000 0.000  -0.04
Os 0.500 0.500 0.500  1.92
Se 0.000 0.000 0.000  -0.06